Entry 1:
VASP calculation (PBE) on a relaxed RbBC crystal.

Total DFT energy (no corrections): -128.74 eV per cell
Spin magnetization: 0.000 μB/atom
N(E_F): 0.00 states/eV per cell
Mass density: 2.7 g/cm3

Cell lengths 9.233, 9.233, 6.152 Å; angles 90.00, 90.00, 90.00 degrees
Space group I4/mmm (No. 139)
Asymmetric unit:
Rb 0.000 0.297 0.000 (multiplicity 8)
B 0.115 0.115 0.500 (multiplicity 8)
C 0.000 0.223 0.500 (multiplicity 8)

Entry 2:
VASP calculation (PBE) on a relaxed RbBC crystal.

Total DFT energy (no corrections): -62.18 eV per cell
Spin magnetization: 0.000 μB/atom
N(E_F): 0.00 states/eV per cell
Mass density: 3.2 g/cm3

Cell lengths 3.306, 9.329, 7.321 Å; angles 90.00, 90.00, 90.00 degrees
Space group Amm2 (No. 38)
Asymmetric unit:
Rb 0.000 0.197 0.000 (multiplicity 4)
B 0.259 0.000 0.345 (multiplicity 4)
C 0.500 0.000 0.540 (multiplicity 2)
C 0.500 0.000 0.715 (multiplicity 2)

Entry 3:
VASP calculation (PBE) on a relaxed RbBC crystal.

Total DFT energy (no corrections): -15.34 eV per cell
Spin magnetization: 0.000 μB/atom
N(E_F): 0.01 states/eV per cell
Mass density: 4.6 g/cm3

Cell lengths 2.9372, 2.9372, 5.2154 Å; angles 90.00, 90.00, 120.00 degrees
Space group P-6m2 (No. 187)
Asymmetric unit:
Rb 0.0000 0.0000 0.0000 (multiplicity 1)
B 0.3333 0.6667 0.5000 (multiplicity 1)
C 0.6667 0.3333 0.5000 (multiplicity 1)

Q: Look up the total DFT energy (no corrections) of the second one.
A: -62.18 eV per cell